(1)
The following is a GGA-PBE calculation of a geometry-optimized Tl2Bi2Pd structure, from Alexandria via LeMat-Bulk.

Cell and atoms, written as POSCAR:
```
Tl2Bi2Pd
1.0
7.3003 0.0000 0.0000
0.0000 7.3003 0.0000
0.0000 0.0000 5.3825
Tl Bi Pd
4 4 2
direct
0.1575 0.3425 0.0000
0.3425 0.8425 0.0000
0.6575 0.1575 0.0000
0.8425 0.6575 0.0000
0.1536 0.6536 0.5000
0.3464 0.1536 0.5000
0.6536 0.8464 0.5000
0.8464 0.3464 0.5000
0.0000 0.0000 0.0000
0.5000 0.5000 0.0000
```

Computed properties:
Fermi-level density of states = 6.080 states/eV per cell
total moment = 0.00 μB per cell
density = 10.80 g/cm³
relative energy among the computed polymorphs = 292 meV per atom
ΔE_f = 159 meV per atom

***

(2)
The following is a GGA-PBE calculation of a geometry-optimized CoBr structure, from Alexandria via LeMat-Bulk.

Cell and atoms, written as POSCAR:
```
CoBr
1.0
-3.7724 3.7724 3.7724
3.7724 -3.7724 3.7724
3.7724 3.7724 -3.7724
Co Br
4 4
direct
0.0000 0.0000 0.7720
0.0000 0.7720 0.0000
0.2280 0.2280 0.2280
0.7720 0.0000 0.0000
0.0000 0.0000 0.3960
0.0000 0.3960 0.0000
0.3960 0.0000 0.0000
0.6040 0.6040 0.6040
```

Computed properties:
Fermi-level density of states = 11.514 states/eV per cell
total moment = 8.00 μB per cell
density = 4.29 g/cm³
E_form (uncorrected) = 0.170 eV/atom
relative energy among the computed polymorphs = 284 meV per atom

***

(3)
The following is a GGA-PBE calculation of a geometry-optimized AcBi3Pt structure, from Alexandria via LeMat-Bulk.

Cell and atoms, written as POSCAR:
```
AcBi3Pt
1.0
6.6208 0.0000 0.0000
0.0026 6.8214 0.0000
0.0084 1.3496 6.9298
Ac Bi Pt
2 6 2
direct
0.0000 0.0000 0.0000
0.4996 0.3753 0.3748
0.0256 0.4678 0.1889
0.4307 0.3307 0.8795
0.4533 0.8774 0.7003
0.5255 0.9079 0.1854
0.9306 0.0450 0.4955
0.9529 0.4975 0.6742
0.2024 0.7416 0.4011
0.7025 0.6339 0.9737
```

Computed properties:
Fermi-level density of states = 4.686 states/eV per cell
total moment = 0.00 μB per cell
density = 11.13 g/cm³
relative energy among the computed polymorphs = 0 meV per atom
ΔE_f = -470 meV per atom

***

(4)
The following is a GGA-PBE calculation of a geometry-optimized KZrTi2 structure, from Alexandria via LeMat-Bulk.

Cell and atoms, written as POSCAR:
```
KZrTi2
1.0
0.0000 3.6161 3.6161
3.6161 0.0000 3.6161
3.6161 3.6161 0.0000
K Zr Ti
1 1 2
direct
0.0000 0.0000 0.0000
0.5000 0.5000 0.5000
0.2500 0.2500 0.2500
0.7500 0.7500 0.7500
```

Computed properties:
Fermi-level density of states = 7.621 states/eV per cell
total moment = 3.28 μB per cell
density = 3.97 g/cm³
relative energy among the computed polymorphs = 0 meV per atom
ΔE_f = 1125 meV per atom

***

Which value of relative energy among the computed polymorphs does entry 3 give?
0 meV per atom